Here is a relaxed structure of LuPaNb2 from Alexandria via LeMat-Bulk. Energies are from PBE. Values from VASP.

Values from the calculation:
ΔH_f (0 K), eV/atom: 0.11
Total energy, eV per atom: -8.42
Crystal system: tetragonal
DOS at the Fermi energy, states/eV per cell: 5.2
Space group: P4/mmm

```
&SYSTEM
  ibrav = 0, nat = 4, ntyp = 3
/
ATOMIC_SPECIES
Lu 174.97 Lu.upf
Pa 231.04 Pa.upf
Nb 92.91 Nb.upf
ATOMIC_POSITIONS angstrom
Lu 1.776 1.776 3.584
Pa 1.776 1.776 0.000
Nb 0.000 0.000 1.492
Nb 0.000 0.000 5.675
CELL_PARAMETERS angstrom
3.551 0.000 0.000
0.000 3.551 0.000
0.000 0.000 7.167
```


Here is a relaxed structure of SrCr2Hg from Alexandria via LeMat-Bulk. Energies are from PBE. Values from VASP.

Values from the calculation:
ΔH_f (0 K), eV/atom: 0.70
Total energy, eV per atom: -4.61
Crystal system: monoclinic
DOS at the Fermi energy, states/eV per cell: 2.9
Space group: P2/m
Offset from the most stable computed form, eV/atom: 0.403

```
&SYSTEM
  ibrav = 0, nat = 4, ntyp = 3
/
ATOMIC_SPECIES
Hg 200.59 Hg.upf
Cr 52.00 Cr.upf
Sr 87.62 Sr.upf
ATOMIC_POSITIONS angstrom
Hg -2.201 1.390 1.655
Cr -0.437 0.074 -0.199
Cr -3.112 -0.961 0.268
Sr -5.750 0.503 1.724
CELL_PARAMETERS angstrom
-0.854 3.667 3.242
-2.551 1.277 -2.117
-4.547 -3.051 2.255
```


Here is a relaxed structure of Li2ErGa6 from Alexandria via LeMat-Bulk. Energies are from PBE. Values from VASP.

Values from the calculation:
ΔH_f (0 K), eV/atom: -0.33
Total energy, eV per atom: -3.28
Crystal system: hexagonal
DOS at the Fermi energy, states/eV per cell: 2.7
Space group: P6/mmm
Offset from the most stable computed form, eV/atom: 0.000

```
&SYSTEM
  ibrav = 0, nat = 9, ntyp = 3
/
ATOMIC_SPECIES
Ga 69.72 Ga.upf
Er 167.26 Er.upf
Li 6.94 Li.upf
ATOMIC_POSITIONS angstrom
Ga -1.531 -1.858 -1.909
Er -3.340 -6.764 -0.947
Li 0.230 -4.221 -1.181
Ga 2.080 0.714 -2.146
Ga 0.954 -1.566 -2.465
Ga 2.267 -3.488 -3.311
Ga -2.619 -4.060 -2.217
Li 2.990 -0.833 -4.595
Ga 1.141 -5.768 -3.630
CELL_PARAMETERS angstrom
-0.811 0.845 -3.180
7.371 0.864 -1.650
-3.340 -6.764 -0.947
```


Copy entry 3 word for word.
Here is a relaxed structure of Li2ErGa6 from Alexandria via LeMat-Bulk. Energies are from PBE. Values from VASP.

Values from the calculation:
ΔH_f (0 K), eV/atom: -0.33
Total energy, eV per atom: -3.28
Crystal system: hexagonal
DOS at the Fermi energy, states/eV per cell: 2.7
Space group: P6/mmm
Offset from the most stable computed form, eV/atom: 0.000

```
&SYSTEM
  ibrav = 0, nat = 9, ntyp = 3
/
ATOMIC_SPECIES
Ga 69.72 Ga.upf
Er 167.26 Er.upf
Li 6.94 Li.upf
ATOMIC_POSITIONS angstrom
Ga -1.531 -1.858 -1.909
Er -3.340 -6.764 -0.947
Li 0.230 -4.221 -1.181
Ga 2.080 0.714 -2.146
Ga 0.954 -1.566 -2.465
Ga 2.267 -3.488 -3.311
Ga -2.619 -4.060 -2.217
Li 2.990 -0.833 -4.595
Ga 1.141 -5.768 -3.630
CELL_PARAMETERS angstrom
-0.811 0.845 -3.180
7.371 0.864 -1.650
-3.340 -6.764 -0.947
```


> The lowest total energy belongs to which entry?

LuPaNb2